Density functional theory data (PBE) for a relaxed La6Pr2Er3 crystal.

Lattice parameters (Å, degrees): 6.3562 8.1962 8.2188 107.22 97.13 105.00
Closest atoms and distances in Å follow each position.
Space group P-1 (No. 2)
Unique sites:
La  0.0473  0.1831  0.4122 (multiplicity 2)  5 La 3.63-3.71, 5 Er 3.65-3.68, 2 Pr 3.68-3.74
La  0.1386  0.5460  0.2329 (multiplicity 2)  4 Er 3.63-3.67, 6 La 3.63-3.78, 2 Pr 3.67-3.71
La  0.3200  0.2737  0.8637 (multiplicity 2)  3 Pr 3.65-3.69, 6 La 3.66-3.71, 3 Er 3.67-3.70
Pr  0.2300  0.9093  0.0492 (multiplicity 2)  7 La 3.65-3.74, 3 Er 3.65-3.69, 2 Pr 3.66-3.71
Er  0.4103  0.6386  0.6803 (multiplicity 2)  8 La 3.63-3.70, 2 Er 3.64-3.67, 2 Pr 3.66-3.69
Er  0.5000  0.0000  0.5000 (multiplicity 1)  2 Er 3.64, 2 Pr 3.65, 8 La 3.66-3.67

Calculated values
The calculation puts the density of states at the Fermi level at 18.7 states/eV per cell. For the total magnetization, the calculation gives 0.00 Bohr magnetons per cell. For the energy of formation, the calculation gives 2.3 kJ/mol of atoms. As for the energy: -0.3512 Ry/atom.